# 1
Crystalline NpGe3Ir at its relaxed geometry. Source: Alexandria, functional PBE.

As for the space-group type: Pmn2_1. Its formation energy is -288.2 meV/atom.

Lattice parameters (Å, degrees): 6.048 5.629 5.782 90.00 90.00 90.00
Fractional coordinates of all 10 atoms:
Np (0.000, 0.147, 0.000)
Np (0.500, 0.853, 0.500)
Ge (0.000, 0.906, 0.559)
Ge (0.235, 0.307, 0.454)
Ge (0.265, 0.693, 0.954)
Ge (0.500, 0.094, 0.059)
Ge (0.735, 0.693, 0.954)
Ge (0.765, 0.307, 0.454)
Ir (0.000, 0.607, 0.258)
Ir (0.500, 0.393, 0.758)

# 2
Crystalline ZrCu2Re at its relaxed geometry. Source: Alexandria, functional PBE.

As for the space-group type: P4/mmm. Its formation energy is 238.0 meV/atom.

Lattice parameters (Å, degrees): 2.794 2.794 7.721 90.00 90.00 90.00
Fractional coordinates of all 4 atoms:
Zr (0.000, 0.000, 0.000)
Cu (0.500, 0.500, 0.270)
Cu (0.500, 0.500, 0.730)
Re (0.000, 0.000, 0.500)

# 3
Crystalline La6TeIr2Se3 at its relaxed geometry. Source: Alexandria, functional PBE.

The uncorrected formation energy comes out at -145 kJ per mole of atoms. As for the space-group type: C2/m.

Lattice parameters (Å, degrees): 9.755 9.755 8.959 104.59 104.59 25.29
Fractional coordinates of all 12 atoms:
La (0.013, 0.013, 0.270)
La (0.325, 0.325, 0.886)
La (0.326, 0.326, 0.428)
La (0.674, 0.674, 0.572)
La (0.675, 0.675, 0.114)
La (0.987, 0.987, 0.730)
Te (0.500, 0.500, 0.000)
Ir (0.169, 0.169, 0.336)
Ir (0.831, 0.831, 0.664)
Se (0.158, 0.158, 0.839)
Se (0.500, 0.500, 0.500)
Se (0.842, 0.842, 0.161)

# 4
Crystalline PmCdAu6 at its relaxed geometry. Source: Alexandria, functional PBE.

As for the space-group type: Pmm2. Its formation energy is -371.0 meV/atom.

Lattice parameters (Å, degrees): 5.014 6.049 5.254 90.00 90.00 90.00
Fractional coordinates of all 8 atoms:
Pm (0.000, 0.000, 0.000)
Cd (0.500, 0.500, 0.318)
Au (0.000, 0.262, 0.496)
Au (0.000, 0.500, 0.994)
Au (0.000, 0.738, 0.496)
Au (0.500, 0.000, 0.350)
Au (0.500, 0.257, 0.825)
Au (0.500, 0.743, 0.825)

# 5
Crystalline NiAsRu2 at its relaxed geometry. Source: Alexandria, functional PBE.

As for the space-group type: I-42d. Its formation energy is 397.5 meV/atom.

Lattice parameters (Å, degrees): 9.288 9.288 9.288 157.37 157.37 32.22
Fractional coordinates of all 8 atoms:
Ni (0.000, 0.000, 0.000)
Ni (0.750, 0.250, 0.500)
As (0.250, 0.750, 0.500)
As (0.500, 0.500, 0.000)
Ru (0.102, 0.625, 0.977)
Ru (0.375, 0.352, 0.477)
Ru (0.648, 0.125, 0.023)
Ru (0.875, 0.898, 0.523)

# 6
Crystalline BePb2ClO at its relaxed geometry. Source: Alexandria, functional PBE.

The uncorrected formation energy comes out at -62 kJ per mole of atoms. As for the space-group type: P4/mmm.

Lattice parameters (Å, degrees): 5.895 5.895 3.099 90.00 90.00 90.00
Fractional coordinates of all 5 atoms:
Be (0.000, 0.000, 0.000)
Pb (0.000, 0.500, 0.000)
Pb (0.500, 0.000, 0.000)
Cl (0.500, 0.500, 0.500)
O (0.000, 0.000, 0.500)

# 7
Crystalline MgZrPb2 at its relaxed geometry. Source: Alexandria, functional PBE.

As for the space-group type: R-3m. Its formation energy is -37.9 meV/atom.

Lattice parameters (Å, degrees): 9.888 9.888 9.888 20.19 20.19 20.19
Fractional coordinates of all 4 atoms:
Mg (0.000, 0.000, 0.000)
Zr (0.500, 0.500, 0.500)
Pb (0.250, 0.250, 0.250)
Pb (0.750, 0.750, 0.750)

# 8
Crystalline EuZrSc2 at its relaxed geometry. Source: Alexandria, functional PBE.

As for the space-group type: R-3m. Its formation energy is 375.9 meV/atom.

Lattice parameters (Å, degrees): 11.929 11.929 11.929 15.53 15.53 15.53
Fractional coordinates of all 4 atoms:
Eu (0.000, 0.000, 0.000)
Zr (0.500, 0.500, 0.500)
Sc (0.416, 0.416, 0.416)
Sc (0.584, 0.584, 0.584)

# 9
Crystalline La12Co5Sb3 at its relaxed geometry. Source: Alexandria, functional PBE.

The uncorrected formation energy comes out at -27 kJ per mole of atoms. As for the space-group type: Ia-3d.

Lattice parameters (Å, degrees): 14.980 14.980 14.980 109.47 109.47 109.47
Fractional coordinates of all 80 atoms:
La (0.023, 0.202, 0.118)
La (0.023, 0.321, 0.905)
La (0.084, 0.702, 0.679)
La (0.084, 0.882, 0.405)
La (0.095, 0.618, 0.416)
La (0.095, 0.977, 0.679)
La (0.118, 0.023, 0.202)
La (0.118, 0.595, 0.916)
La (0.179, 0.202, 0.584)
La (0.179, 0.477, 0.595)
La (0.202, 0.118, 0.023)
La (0.202, 0.584, 0.179)
La (0.298, 0.321, 0.916)
La (0.298, 0.477, 0.382)
La (0.321, 0.905, 0.023)
La (0.321, 0.916, 0.298)
La (0.382, 0.298, 0.477)
La (0.382, 0.584, 0.905)
La (0.405, 0.084, 0.882)
La (0.405, 0.821, 0.523)
La (0.416, 0.095, 0.618)
La (0.416, 0.821, 0.798)
La (0.477, 0.382, 0.298)
La (0.477, 0.595, 0.179)
La (0.523, 0.405, 0.821)
La (0.523, 0.618, 0.702)
La (0.584, 0.179, 0.202)
La (0.584, 0.905, 0.382)
La (0.595, 0.179, 0.477)
La (0.595, 0.916, 0.118)
La (0.618, 0.416, 0.095)
La (0.618, 0.702, 0.523)
La (0.679, 0.084, 0.702)
La (0.679, 0.095, 0.977)
La (0.702, 0.523, 0.618)
La (0.702, 0.679, 0.084)
La (0.798, 0.416, 0.821)
La (0.798, 0.882, 0.977)
La (0.821, 0.523, 0.405)
La (0.821, 0.798, 0.416)
La (0.882, 0.405, 0.084)
La (0.882, 0.977, 0.798)
La (0.905, 0.023, 0.321)
La (0.905, 0.382, 0.584)
La (0.916, 0.118, 0.595)
La (0.916, 0.298, 0.321)
La (0.977, 0.679, 0.095)
La (0.977, 0.798, 0.882)
Co (0.000, 0.000, 0.000)
Co (0.000, 0.000, 0.500)
Co (0.000, 0.500, 0.000)
Co (0.000, 0.500, 0.500)
Co (0.125, 0.750, 0.875)
Co (0.125, 0.875, 0.250)
Co (0.250, 0.125, 0.875)
Co (0.250, 0.625, 0.375)
Co (0.375, 0.250, 0.625)
Co (0.375, 0.625, 0.750)
Co (0.500, 0.000, 0.000)
Co (0.500, 0.000, 0.500)
Co (0.500, 0.500, 0.000)
Co (0.500, 0.500, 0.500)
Co (0.625, 0.375, 0.250)
Co (0.625, 0.750, 0.375)
Co (0.750, 0.375, 0.625)
Co (0.750, 0.875, 0.125)
Co (0.875, 0.125, 0.750)
Co (0.875, 0.250, 0.125)
Sb (0.125, 0.250, 0.375)
Sb (0.125, 0.375, 0.750)
Sb (0.250, 0.375, 0.125)
Sb (0.250, 0.875, 0.625)
Sb (0.375, 0.125, 0.250)
Sb (0.375, 0.750, 0.125)
Sb (0.625, 0.250, 0.875)
Sb (0.625, 0.875, 0.750)
Sb (0.750, 0.125, 0.375)
Sb (0.750, 0.625, 0.875)
Sb (0.875, 0.625, 0.250)
Sb (0.875, 0.750, 0.625)

# 10
Crystalline BeAuC3 at its relaxed geometry. Source: Alexandria, functional PBE.

As for the space-group type: Pm-3m. Its formation energy is 2476.8 meV/atom.

Lattice parameters (Å, degrees): 3.693 3.693 3.693 90.00 90.00 90.00
Fractional coordinates of all 5 atoms:
Be (0.000, 0.000, 0.000)
Au (0.500, 0.500, 0.500)
C (0.000, 0.000, 0.500)
C (0.000, 0.500, 0.000)
C (0.500, 0.000, 0.000)

# 11
Crystalline La5Y3H12 at its relaxed geometry. Source: Alexandria, functional PBE.

As for the space-group type: Ia-3d. The total energy is -4.64 eV per atom.

Lattice parameters (Å, degrees): 11.804 11.804 11.804 109.47 109.47 109.47
Fractional coordinates of all 80 atoms:
La (0.000, 0.000, 0.000)
La (0.000, 0.000, 0.500)
La (0.000, 0.500, 0.000)
La (0.000, 0.500, 0.500)
La (0.125, 0.750, 0.875)
La (0.125, 0.875, 0.250)
La (0.250, 0.125, 0.875)
La (0.250, 0.625, 0.375)
La (0.375, 0.250, 0.625)
La (0.375, 0.625, 0.750)
La (0.500, 0.000, 0.000)
La (0.500, 0.000, 0.500)
La (0.500, 0.500, 0.000)
La (0.500, 0.500, 0.500)
La (0.625, 0.375, 0.250)
La (0.625, 0.750, 0.375)
La (0.750, 0.375, 0.625)
La (0.750, 0.875, 0.125)
La (0.875, 0.125, 0.750)
La (0.875, 0.250, 0.125)
Y (0.125, 0.250, 0.375)
Y (0.125, 0.375, 0.750)
Y (0.250, 0.375, 0.125)
Y (0.250, 0.875, 0.625)
Y (0.375, 0.125, 0.250)
Y (0.375, 0.750, 0.125)
Y (0.625, 0.250, 0.875)
Y (0.625, 0.875, 0.750)
Y (0.750, 0.125, 0.375)
Y (0.750, 0.625, 0.875)
Y (0.875, 0.625, 0.250)
Y (0.875, 0.750, 0.625)
H (0.069, 0.731, 0.655)
H (0.069, 0.838, 0.413)
H (0.075, 0.231, 0.162)
H (0.075, 0.345, 0.913)
H (0.087, 0.662, 0.431)
H (0.087, 0.925, 0.655)
H (0.155, 0.231, 0.569)
H (0.155, 0.425, 0.587)
H (0.162, 0.075, 0.231)
H (0.162, 0.587, 0.931)
H (0.231, 0.162, 0.075)
H (0.231, 0.569, 0.155)
H (0.269, 0.345, 0.931)
H (0.269, 0.425, 0.338)
H (0.338, 0.269, 0.425)
H (0.338, 0.569, 0.913)
H (0.345, 0.913, 0.075)
H (0.345, 0.931, 0.269)
H (0.413, 0.069, 0.838)
H (0.413, 0.845, 0.575)
H (0.425, 0.338, 0.269)
H (0.425, 0.587, 0.155)
H (0.431, 0.087, 0.662)
H (0.431, 0.845, 0.769)
H (0.569, 0.155, 0.231)
H (0.569, 0.913, 0.338)
H (0.575, 0.413, 0.845)
H (0.575, 0.662, 0.731)
H (0.587, 0.155, 0.425)
H (0.587, 0.931, 0.162)
H (0.655, 0.069, 0.731)
H (0.655, 0.087, 0.925)
H (0.662, 0.431, 0.087)
H (0.662, 0.731, 0.575)
H (0.731, 0.575, 0.662)
H (0.731, 0.655, 0.069)
H (0.769, 0.431, 0.845)
H (0.769, 0.838, 0.925)
H (0.838, 0.413, 0.069)
H (0.838, 0.925, 0.769)
H (0.845, 0.575, 0.413)
H (0.845, 0.769, 0.431)
H (0.913, 0.075, 0.345)
H (0.913, 0.338, 0.569)
H (0.925, 0.655, 0.087)
H (0.925, 0.769, 0.838)
H (0.931, 0.162, 0.587)
H (0.931, 0.269, 0.345)

# 12
Crystalline Ge3PbCl at its relaxed geometry. Source: Alexandria, functional PBE.

The uncorrected formation energy comes out at 87 kJ per mole of atoms. As for the space-group type: Pm-3m.

Lattice parameters (Å, degrees): 5.569 5.569 5.569 90.00 90.00 90.00
Fractional coordinates of all 5 atoms:
Ge (0.000, 0.000, 0.500)
Ge (0.000, 0.500, 0.000)
Ge (0.500, 0.000, 0.000)
Pb (0.000, 0.000, 0.000)
Cl (0.500, 0.500, 0.500)

Repeat the tenth record exactly.
Crystalline BeAuC3 at its relaxed geometry. Source: Alexandria, functional PBE.

As for the space-group type: Pm-3m. Its formation energy is 2476.8 meV/atom.

Lattice parameters (Å, degrees): 3.693 3.693 3.693 90.00 90.00 90.00
Fractional coordinates of all 5 atoms:
Be (0.000, 0.000, 0.000)
Au (0.500, 0.500, 0.500)
C (0.000, 0.000, 0.500)
C (0.000, 0.500, 0.000)
C (0.500, 0.000, 0.000)

Copy entry 3 word for word.
Crystalline La6TeIr2Se3 at its relaxed geometry. Source: Alexandria, functional PBE.

The uncorrected formation energy comes out at -145 kJ per mole of atoms. As for the space-group type: C2/m.

Lattice parameters (Å, degrees): 9.755 9.755 8.959 104.59 104.59 25.29
Fractional coordinates of all 12 atoms:
La (0.013, 0.013, 0.270)
La (0.325, 0.325, 0.886)
La (0.326, 0.326, 0.428)
La (0.674, 0.674, 0.572)
La (0.675, 0.675, 0.114)
La (0.987, 0.987, 0.730)
Te (0.500, 0.500, 0.000)
Ir (0.169, 0.169, 0.336)
Ir (0.831, 0.831, 0.664)
Se (0.158, 0.158, 0.839)
Se (0.500, 0.500, 0.500)
Se (0.842, 0.842, 0.161)